# AgSbP2O | the Alexandria database | PBE | optimized geometry
data_AgSbP2O
_cell_length_a 4.910
_cell_length_b 4.910
_cell_length_c 3.947
_cell_angle_alpha 90.00
_cell_angle_beta 90.00
_cell_angle_gamma 90.00
_space_group_name_H-M_alt 'P 4/m m m'
_space_group_IT_number 123
_space_group_name_Hall '-P 4 2'
loop_
_atom_site_label
_atom_site_fract_x
_atom_site_fract_y
_atom_site_fract_z
Ag1 0.000 0.000 0.000
Sb1 0.500 0.500 0.500
P1 0.000 0.500 0.000
O1 0.000 0.000 0.500
# * density of states at the Fermi level: 3.851 states/eV/f.u.
# * formation energy without anion corrections: 0.72 eV per atom